# PBE Hf6NbOs, optimized geometry
data_Hf6NbOs
_chemical_formula_sum 'Hf12 Nb2 Os2'
_symmetry_space_group_name_H-M 'C 1 2/m 1'
_symmetry_Int_Tables_number 12
_cell_length_a 15.203
_cell_length_b 4.748
_cell_length_c 4.748
_cell_angle_alpha 90.00
_cell_angle_beta 108.14
_cell_angle_gamma 90.00
loop_
_symmetry_equiv_pos_as_xyz
'x,y,z'
'-x,-y,-z'
'-x,y,-z'
'x,-y,z'
'x+1/2,y+1/2,z'
'-x+1/2,-y+1/2,-z'
'-x+1/2,y+1/2,-z'
'x+1/2,-y+1/2,z'
loop_
_atom_site_label
_atom_site_type_symbol
_atom_site_fract_x
_atom_site_fract_y
_atom_site_fract_z
Hf1 Hf 0.109 0.000 0.109
Hf2 Hf 0.109 0.500 0.610
Hf3 Hf 0.246 0.000 0.746
Nb1 Nb 0.000 0.000 0.500
Os1 Os 0.000 0.500 0.000
# ΔE_f ... -0.0945 eV per atom
# Energy above the most stable polymorph in this dataset ... 0.00 eV per formula unit
# DFT total energy ... -10.222 eV per atom
# Size of the total moment ... 0.0 μB per cell